Entry 1:
# PBE KY2Ta, optimized geometry
data_KY2Ta
_chemical_formula_sum 'K1 Y2 Ta1'
_space_group_name_H-M_alt 'P 1'
_space_group_IT_number 1
_cell_length_a 5.935
_cell_length_b 5.935
_cell_length_c 3.312
_cell_angle_alpha 90.00
_cell_angle_beta 90.00
_cell_angle_gamma 102.32
loop_
_space_group_symop_operation_xyz
'x,y,z'
loop_
_atom_site_label
_atom_site_fract_x
_atom_site_fract_y
_atom_site_fract_z
_atom_site_occupancy
K1 0.000 0.000 0.000 1
Y1 0.000 0.500 0.500 1
Y2 0.500 0.000 0.500 1
Ta1 0.500 0.500 0.000 1
# - N(E_F): 6.338 states/eV/f.u.
# - Formation energy from the elements: 0.912 eV/atom
# - Total magnetization: 0.0 μB/f.u.
# - Calculated total energy: -5.558 eV per atom
# - Energy above the lowest structure with this stoichiometry: 622.0 meV per atom



Entry 2:
# PBE KYTa2, optimized geometry
data_KYTa2
_chemical_formula_sum 'K1 Y1 Ta2'
_space_group_name_H-M_alt 'P 1'
_space_group_IT_number 1
_cell_length_a 3.059
_cell_length_b 5.511
_cell_length_c 7.617
_cell_angle_alpha 90.00
_cell_angle_beta 100.64
_cell_angle_gamma 90.00
loop_
_space_group_symop_operation_xyz
'x,y,z'
loop_
_atom_site_label
_atom_site_fract_x
_atom_site_fract_y
_atom_site_fract_z
_atom_site_occupancy
K1 0.000 0.000 0.000 1
Y1 0.000 0.000 0.500 1
Ta1 0.372 0.500 0.642 1
Ta2 0.628 0.500 0.358 1
# - N(E_F): 4.905 states/eV/f.u.
# - Formation energy from the elements: 0.930 eV/atom
# - Total magnetization: 0.0 μB/f.u.
# - Calculated total energy: -6.887 eV per atom
# - Energy above the lowest structure with this stoichiometry: 407.1 meV per atom



Entry 3:
# PBE KY2Ta, optimized geometry
data_KY2Ta
_chemical_formula_sum 'K1 Y2 Ta1'
_space_group_name_H-M_alt 'P 1'
_space_group_IT_number 1
_cell_length_a 5.805
_cell_length_b 5.805
_cell_length_c 3.395
_cell_angle_alpha 90.00
_cell_angle_beta 90.00
_cell_angle_gamma 90.00
loop_
_space_group_symop_operation_xyz
'x,y,z'
loop_
_atom_site_label
_atom_site_fract_x
_atom_site_fract_y
_atom_site_fract_z
_atom_site_occupancy
K1 0.000 0.000 0.000 1
Y1 0.000 0.500 0.500 1
Y2 0.500 0.000 0.500 1
Ta1 0.500 0.500 0.000 1
# - N(E_F): 6.210 states/eV/f.u.
# - Formation energy from the elements: 0.918 eV/atom
# - Total magnetization: 0.0 μB/f.u.
# - Calculated total energy: -5.552 eV per atom
# - Energy above the lowest structure with this stoichiometry: 628.0 meV per atom



Look up the total magnetization of the first one.
0.0 μB/f.u.



calculated total energy of number 2 (KYTa2)?
-6.887 eV per atom



What is the formula in the second record?
KYTa2